Density functional theory data (PBE with a Hubbard U) for a relaxed structure of TlVF3.

```
TlVF3
1.0
-6.2832 -0.4841 -4.5227
5.7385 -4.1790 3.1262
-3.0300 -0.9367 4.3096
F V Tl
6 2 2
Direct
0.0000 0.0000 0.5000
0.9124 0.5967 0.7500
0.5967 0.9124 0.2500
0.0000 0.0000 0.0000
0.0876 0.4033 0.2500
0.4033 0.0876 0.7500
0.4355 0.5645 0.2500
0.5645 0.4355 0.7500
0.8458 0.1542 0.7500
0.1542 0.8458 0.2500
```

Results
Final energy: -0.3448 Ry per atom
Space group: Cmcm (63)
Theoretical density: 5.38 g cm⁻³